(1)
Compound: SrSiGePd2
Source: OQMD via LeMat-Bulk
Functional: PBE-GGA
Structure: optimized geometry

Cell lengths 4.414, 4.414, 10.098 Å; angles 90.00, 90.00, 90.00 degrees
Positions (direct):
Sr 0.250 0.250 0.248
Sr 0.750 0.750 0.752
Si 0.250 0.250 0.619
Si 0.750 0.750 0.381
Ge 0.250 0.750 0.000
Ge 0.750 0.250 0.000
Pd 0.250 0.250 0.863
Pd 0.250 0.750 0.500
Pd 0.750 0.250 0.500
Pd 0.750 0.750 0.137

Output
Space-group type: P4/nmm
Excess energy over the best structure of this formula in the dataset (meV/atom): 12



(2)
Compound: SrSiGePd2
Source: OQMD via LeMat-Bulk
Functional: PBE-GGA
Structure: optimized geometry

Cell lengths 5.961, 5.961, 5.961 Å; angles 136.78, 136.78, 62.78 degrees
Positions (direct):
Sr 0.000 0.000 0.000
Si 0.632 0.632 0.000
Ge 0.377 0.377 0.000
Pd 0.245 0.745 0.500
Pd 0.745 0.245 0.500

Output
Space-group type: I4mm
Excess energy over the best structure of this formula in the dataset (meV/atom): 0



(3)
Compound: SrSi2GePd
Source: OQMD via LeMat-Bulk
Functional: PBE-GGA
Structure: optimized geometry

Cell lengths 5.977, 5.977, 5.977 Å; angles 136.97, 136.97, 62.49 degrees
Positions (direct):
Sr 0.000 0.000 0.000
Si 0.254 0.754 0.500
Si 0.754 0.254 0.500
Ge 0.396 0.396 0.000
Pd 0.647 0.647 0.000

Output
Space-group type: I4mm
DFT total energy (eV/atom): -4.99



(4)
Compound: SrSiGe2Pd
Source: OQMD via LeMat-Bulk
Functional: PBE-GGA
Structure: optimized geometry

Cell lengths 6.005, 6.005, 6.005 Å; angles 136.25, 136.25, 63.59 degrees
Positions (direct):
Sr 0.000 0.000 0.000
Si 0.397 0.397 0.000
Ge 0.256 0.756 0.500
Ge 0.756 0.256 0.500
Pd 0.634 0.634 0.000

Output
Space-group type: I4mm
DFT total energy (eV/atom): -4.85



(5)
Compound: Zr2SiGePd2
Source: OQMD via LeMat-Bulk
Functional: PBE-GGA
Structure: optimized geometry

Cell lengths 10.637, 4.342, 10.637 Å; angles 90.00, 109.47, 90.00 degrees
Positions (direct):
Zr 0.000 0.000 0.000
Zr 0.122 0.500 0.375
Zr 0.247 0.000 0.748
Zr 0.375 0.500 0.127
Zr 0.499 0.000 0.501
Zr 0.624 0.500 0.873
Zr 0.749 0.000 0.251
Zr 0.873 0.500 0.624
Si 0.249 0.000 0.250
Si 0.624 0.500 0.375
Si 0.749 0.000 0.750
Si 0.998 0.000 0.500
Ge 0.123 0.500 0.875
Ge 0.373 0.500 0.624
Ge 0.499 0.000 0.000
Ge 0.874 0.500 0.125
Pd 0.127 0.500 0.128
Pd 0.245 0.000 0.496
Pd 0.373 0.500 0.875
Pd 0.499 0.000 0.254
Pd 0.627 0.500 0.624
Pd 0.749 0.000 0.997
Pd 0.873 0.500 0.378
Pd 0.995 0.000 0.747

Output
Space-group type: Pm
DFT total energy (eV/atom): -7.02
Size of the total moment (μB/f.u.): 0.00



(6)
Compound: Zr3Si2Ge2Pd4
Source: OQMD via LeMat-Bulk
Functional: PBE-GGA
Structure: optimized geometry

Cell lengths 7.797, 7.797, 7.797 Å; angles 150.03, 127.75, 61.41 degrees
Positions (direct):
Zr 0.000 0.000 0.000
Zr 0.377 0.877 0.500
Zr 0.623 0.123 0.500
Si 0.213 0.213 0.000
Si 0.787 0.787 0.000
Ge 0.306 0.500 0.806
Ge 0.694 0.500 0.194
Pd 0.024 0.322 0.703
Pd 0.381 0.678 0.703
Pd 0.619 0.322 0.297
Pd 0.976 0.678 0.297

Output
Space-group type: Immm
DFT total energy (eV/atom): -6.89
Size of the total moment (μB/f.u.): 0.02